# 1
{"formula": "Sr2CaScTl", "functional": "PBE", "state": "optimized geometry", "final_energy_ev_per_atom": -2.636, "spacegroup": "P4/mmm, No. 123", "m_tot_mub_per_cell": 1.5, "cell": [[6.3293, 0.0000, 0.0000], [0.0000, 6.3293, 0.0000], [0.0000, 0.0000, 5.6547]], "species": ["Sr", "Sr", "Ca", "Sc", "Tl"], "frac_coords": [[0.0000, 0.5000, 0.0000], [0.5000, 0.0000, 0.0000], [0.0000, 0.0000, 0.5000], [0.5000, 0.5000, 0.5000], [0.5000, 0.5000, 0.0000]]}



# 2
{"formula": "CaScTa3", "functional": "PBE", "state": "optimized geometry", "relative_energy_ev_per_atom": 0.000, "final_energy_ev_per_atom": -7.138, "spacegroup": "Pm-3m, No. 221", "m_tot_mub_per_cell": 0.0, "cell": [[4.9218, 0.0000, 0.0000], [0.0000, 4.9218, 0.0000], [0.0000, 0.0000, 4.9218]], "species": ["Ca", "Sc", "Ta", "Ta", "Ta"], "frac_coords": [[0.0000, 0.0000, 0.0000], [0.5000, 0.5000, 0.5000], [0.0000, 0.5000, 0.5000], [0.5000, 0.0000, 0.5000], [0.5000, 0.5000, 0.0000]]}